1.
Ba3Cl | PBE | optimized geometry

abc: 6.326 6.326 6.326
angles: 90.00 90.00 90.00
Positions (direct):
Ba 0.000 0.000 0.500
Ba 0.000 0.500 0.000
Ba 0.500 0.000 0.000
Cl 0.000 0.000 0.000

Output
Raw formation energy in eV/f.u.: -1.98
ΔE to the lowest computed polymorph in meV/atom: 357
Total DFT energy (no corrections) in eV per atom: -2.398

***

2.
LiAlRu2 | PBE | optimized geometry

abc: 3.051 3.051 5.591
angles: 90.00 90.00 90.00
Positions (direct):
Li 0.000 0.000 0.000
Al 0.000 0.000 0.500
Ru 0.500 0.500 0.233
Ru 0.500 0.500 0.767

Output
Energy of formation in eV per atom: -0.04
Total DFT energy (no corrections) in eV per atom: -6.093

***

3.
NdSi2 | PBE | optimized geometry

abc: 7.710 7.710 7.710
angles: 148.59 148.59 45.01
Positions (direct):
Nd 0.375 0.625 0.750
Nd 0.625 0.375 0.250
Si 0.041 0.791 0.250
Si 0.209 0.959 0.250
Si 0.791 0.041 0.750
Si 0.959 0.209 0.750

Output
Raw formation energy in eV/f.u.: -1.79
Total DFT energy (no corrections) in eV per atom: -5.803

***

4.
Sr8N4Cl3 | PBE | optimized geometry

abc: 8.069 8.069 7.940
angles: 119.10 119.10 90.76
Positions (direct):
Sr 0.197 0.197 0.944
Sr 0.229 0.229 0.474
Sr 0.229 0.771 0.000
Sr 0.230 0.770 0.500
Sr 0.770 0.230 0.500
Sr 0.771 0.229 0.000
Sr 0.771 0.771 0.526
Sr 0.803 0.803 0.056
N 0.000 0.000 0.000
N 0.000 0.000 0.500
N 0.000 0.500 0.500
N 0.500 0.000 0.500
Cl 0.000 0.500 0.000
Cl 0.500 0.000 0.000
Cl 0.500 0.500 0.000

Output
Raw formation energy in eV/f.u.: -15.59
Total DFT energy (no corrections) in eV per atom: -4.526

***

5.
Lu2SbP | PBE | optimized geometry

abc: 7.234 7.234 7.234
angles: 32.64 32.64 32.64
Positions (direct):
Lu 0.241 0.241 0.241
Lu 0.759 0.759 0.759
Sb 0.000 0.000 0.000
P 0.500 0.500 0.500

Output
Raw formation energy in eV/f.u.: -5.06
Total DFT energy (no corrections) in eV per atom: -5.910

***

6.
Pu4AgRu2Pt | PBE | optimized geometry

abc: 8.496 8.496 8.496
angles: 33.63 33.63 33.63
Positions (direct):
Pu 0.121 0.121 0.121
Pu 0.372 0.372 0.372
Pu 0.628 0.628 0.628
Pu 0.879 0.879 0.879
Ag 0.500 0.500 0.500
Ru 0.248 0.248 0.248
Ru 0.752 0.752 0.752
Pt 0.000 0.000 0.000

Output
Energy of formation in eV per atom: -0.18
Total DFT energy (no corrections) in eV per atom: -10.779

***

7.
PaTl2Cr2S6 | PBE | optimized geometry

abc: 6.339 6.339 7.974
angles: 97.39 97.39 120.23
Positions (direct):
Pa 0.000 0.000 0.000
Tl 0.162 0.838 0.500
Tl 0.838 0.162 0.500
Cr 0.333 0.667 0.000
Cr 0.667 0.333 0.000
S 0.056 0.415 0.181
S 0.301 0.301 0.820
S 0.415 0.056 0.181
S 0.585 0.944 0.819
S 0.699 0.699 0.180
S 0.944 0.585 0.819

Output
Raw formation energy in eV/f.u.: -9.87
Total DFT energy (no corrections) in eV per atom: -6.191

***

8.
La4Hg3Ru | PBE | optimized geometry

abc: 6.615 6.615 6.615
angles: 109.47 109.47 109.47
Positions (direct):
La 0.000 0.000 0.500
La 0.000 0.500 0.000
La 0.500 0.000 0.000
La 0.500 0.500 0.500
Hg 0.000 0.500 0.500
Hg 0.500 0.000 0.500
Hg 0.500 0.500 0.000
Ru 0.000 0.000 0.000

Output
Energy of formation in eV per atom: -0.37
Total DFT energy (no corrections) in eV per atom: -4.102

***

9.
Th2P3Pd6 | PBE | optimized geometry

abc: 7.391 7.391 4.224
angles: 90.00 90.00 120.00
Positions (direct):
Th 0.333 0.667 0.000
Th 0.667 0.333 0.000
P 0.000 0.359 0.500
P 0.359 0.000 0.500
P 0.641 0.641 0.500
Pd 0.000 0.215 0.000
Pd 0.000 0.680 0.500
Pd 0.215 0.000 0.000
Pd 0.320 0.320 0.500
Pd 0.680 0.000 0.500
Pd 0.785 0.785 0.000

Output
Energy of formation in eV per atom: -0.90
Total DFT energy (no corrections) in eV per atom: -6.556

***

10.
SiHg2Sb | PBE | optimized geometry

abc: 5.111 5.111 5.111
angles: 60.00 60.00 60.00
Positions (direct):
Si 0.000 0.000 0.000
Hg 0.250 0.250 0.250
Hg 0.500 0.500 0.500
Sb 0.750 0.750 0.750

Output
Raw formation energy in eV/f.u.: 1.59
ΔE to the lowest computed polymorph in meV/atom: 231
Total DFT energy (no corrections) in eV per atom: -2.139

***

11.
TbAs2Pb | PBE | optimized geometry

abc: 8.484 8.484 8.484
angles: 30.19 30.19 30.19
Positions (direct):
Tb 0.000 0.000 0.000
As 0.389 0.389 0.389
As 0.611 0.611 0.611
Pb 0.500 0.500 0.500

Output
ΔE to the lowest computed polymorph in meV/atom: 351
Energy of formation in eV per atom: -0.22
Total DFT energy (no corrections) in eV per atom: -4.625

***

12.
NdDy2ThHg4 | PBE | optimized geometry

abc: 9.273 9.273 9.273
angles: 33.52 33.52 33.52
Positions (direct):
Nd 0.000 0.000 0.000
Dy 0.249 0.249 0.249
Dy 0.751 0.751 0.751
Th 0.500 0.500 0.500
Hg 0.124 0.124 0.124
Hg 0.374 0.374 0.374
Hg 0.626 0.626 0.626
Hg 0.876 0.876 0.876

Output
Energy of formation in eV per atom: -0.39
Total DFT energy (no corrections) in eV per atom: -3.217

***

13.
Li2SmAgCl6 | PBE | optimized geometry

abc: 6.711 6.714 7.221
angles: 90.05 117.65 119.97
Positions (direct):
Li 0.000 0.000 0.000
Li 0.016 0.508 0.524
Sm 0.616 0.308 0.924
Ag 0.583 0.792 0.375
Cl 0.103 0.374 0.221
Cl 0.119 0.230 0.724
Cl 0.492 0.119 0.221
Cl 0.495 0.890 0.724
Cl 0.835 0.606 0.724
Cl 0.847 0.730 0.221

Output
Raw formation energy in eV/f.u.: -17.00
Total DFT energy (no corrections) in eV per atom: -3.948

***

14.
Pm3Te3H2 | PBE | optimized geometry

abc: 6.061 6.061 16.478
angles: 90.00 90.00 140.44
Positions (direct):
Pm 0.128 0.872 0.750
Pm 0.150 0.850 0.061
Pm 0.150 0.850 0.439
Pm 0.850 0.150 0.561
Pm 0.850 0.150 0.939
Pm 0.872 0.128 0.250
Te 0.160 0.840 0.250
Te 0.435 0.565 0.104
Te 0.435 0.565 0.396
Te 0.565 0.435 0.604
Te 0.565 0.435 0.896
Te 0.840 0.160 0.750
H 0.269 0.731 0.550
H 0.269 0.731 0.950
H 0.731 0.269 0.050
H 0.731 0.269 0.450

Output
Total DFT energy (no corrections) in eV per atom: -4.948

***

15.
KRb2SeI | PBE | optimized geometry

abc: 6.564 6.564 6.210
angles: 90.00 90.00 90.00
Positions (direct):
K 0.000 0.000 0.000
Rb 0.000 0.500 0.500
Rb 0.500 0.000 0.500
Se 0.000 0.000 0.500
I 0.500 0.500 0.000

Output
Raw formation energy in eV/f.u.: -5.70
ΔE to the lowest computed polymorph in meV/atom: 0
Total DFT energy (no corrections) in eV per atom: -2.753

***

16.
Ac3Ir | PBE | optimized geometry

abc: 5.079 5.079 5.079
angles: 90.00 90.00 90.00
Positions (direct):
Ac 0.000 0.000 0.500
Ac 0.000 0.500 0.000
Ac 0.500 0.000 0.000
Ir 0.500 0.500 0.500

Output
ΔE to the lowest computed polymorph in meV/atom: 571
Energy of formation in eV per atom: 0.17
Total DFT energy (no corrections) in eV per atom: -5.123

***

17.
PmDyPd | PBE | optimized geometry

abc: 4.951 4.951 4.951
angles: 60.00 60.00 60.00
Positions (direct):
Pm 0.000 0.000 0.000
Dy 0.500 0.500 0.500
Pd 0.250 0.250 0.250

Output
ΔE to the lowest computed polymorph in meV/atom: 149
Energy of formation in eV per atom: -0.43
Total DFT energy (no corrections) in eV per atom: -5.278

***

18.
BaNb2CrMo | PBE | optimized geometry

abc: 4.606 4.606 5.382
angles: 90.00 90.00 90.00
Positions (direct):
Ba 0.000 0.000 0.000
Nb 0.000 0.500 0.500
Nb 0.500 0.000 0.500
Cr 0.000 0.000 0.500
Mo 0.500 0.500 0.000

Output
Energy of formation in eV per atom: 1.73
Total DFT energy (no corrections) in eV per atom: -6.776

***

19.
CrTc3 | PBE | optimized geometry

abc: 4.832 4.832 4.832
angles: 90.00 90.00 90.00
Positions (direct):
Cr 0.000 0.000 0.000
Cr 0.500 0.500 0.500
Tc 0.000 0.250 0.500
Tc 0.000 0.750 0.500
Tc 0.250 0.500 0.000
Tc 0.500 0.000 0.250
Tc 0.500 0.000 0.750
Tc 0.750 0.500 0.000

Output
Energy of formation in eV per atom: 0.14
Total DFT energy (no corrections) in eV per atom: -10.042

***

20.
Pm5Nd8Dy | PBE | optimized geometry

abc: 8.646 8.646 8.646
angles: 110.84 110.84 106.78
Positions (direct):
Pm 0.000 0.000 0.000
Pm 0.318 0.633 0.101
Pm 0.367 0.469 0.685
Pm 0.531 0.217 0.899
Pm 0.783 0.682 0.315
Nd 0.026 0.423 0.257
Nd 0.063 0.162 0.734
Nd 0.165 0.769 0.743
Nd 0.231 0.974 0.396
Nd 0.428 0.330 0.266
Nd 0.577 0.835 0.604
Nd 0.670 0.937 0.099
Nd 0.838 0.572 0.901
Dy 0.750 0.250 0.500

Output
Energy of formation in eV per atom: 0.24
Total DFT energy (no corrections) in eV per atom: -4.512